Here is a relaxed MoClF2 crystal from Alexandria. Energies are from GGA+U.

a = 4.793 Å, b = 4.793 Å, c = 13.364 Å
α = 90.00°, β = 90.00°, γ = 90.00°
Element x y z (fractional)
Mo (0.000, 0.000, 0.000)
Mo (0.000, 0.500, 0.250)
Mo (0.500, 0.000, 0.750)
Mo (0.500, 0.500, 0.500)
Cl (0.000, 0.000, 0.500)
Cl (0.000, 0.500, 0.750)
Cl (0.500, 0.000, 0.250)
Cl (0.500, 0.500, 0.000)
F (0.002, 0.250, 0.125)
F (0.250, 0.502, 0.375)
F (0.250, 0.998, 0.875)
F (0.498, 0.250, 0.625)
F (0.502, 0.750, 0.625)
F (0.750, 0.002, 0.875)
F (0.750, 0.498, 0.375)
F (0.998, 0.750, 0.125)

Calculated total energy   -18.07 eV/f.u.
V   307 Å³ per cell
Magnetic moment   12.00 μB per cell
Distance to the lowest polymorph of the same formula   0.0 meV/atom